Here is a crystal of LiGaI3 relaxed with PBEsol from Alexandria. Energies are from SCAN.

Unit cell a=7.0807 b=11.1584 c=8.3562 alpha=90.00 beta=91.97 gamma=90.00
With the nearest neighbours (Å) after each atom.
Atoms (fractional coordinates):
Li 0.0000 0.0000 0.0000  6 I 2.91-3.01
Li 0.0000 0.5000 0.0000  6 I 2.91-3.01
Li 0.5000 0.0000 0.5000  6 I 2.93-3.06
Li 0.5000 0.5000 0.5000  6 I 2.93-3.06
Ga 0.0270 0.2500 0.5321  1 Ga 2.43, 3 I 2.61-2.63
Ga 0.1316 0.2500 0.2584  1 Ga 2.43, 3 I 2.61
Ga 0.8684 0.7500 0.7416  1 Ga 2.43, 3 I 2.61
Ga 0.9730 0.7500 0.4679  1 Ga 2.43, 3 I 2.61-2.63
I 0.1431 0.7500 0.9580  1 Ga 2.61
I 0.1732 0.0654 0.6877  1 Ga 2.63, 1 Li 2.93
I 0.1732 0.4346 0.6877  1 Ga 2.63, 1 Li 2.93
I 0.3375 0.7500 0.4327  1 Ga 2.61
I 0.3414 0.0676 0.1814  1 Ga 2.61, 1 Li 2.91
I 0.3414 0.4324 0.1814  1 Ga 2.61, 1 Li 2.91
I 0.6586 0.5676 0.8186  1 Ga 2.61, 1 Li 2.91
I 0.6586 0.9324 0.8186  1 Ga 2.61, 1 Li 2.91
I 0.6625 0.2500 0.5673  1 Ga 2.61
I 0.8268 0.5654 0.3123  1 Ga 2.63, 1 Li 2.93
I 0.8268 0.9346 0.3123  1 Ga 2.63, 1 Li 2.93
I 0.8569 0.2500 0.0420  1 Ga 2.61

Properties
formation energy without anion corrections: -0.82 eV/atom
VASP energy: -532.23 eV/cell
theoretical density: 4.60 g cm⁻³